# 1
Density functional theory data (GGA-PBE) for a geometry-optimized HfV2Fe structure.

## Properties
Formation energy from the elements, eV per atom: 0.01
Energy, eV per atom: -9.151
Space group: Cmcm (63)
ΔE to the lowest computed polymorph, meV/atom: 0
Crystal system: orthorhombic

a b c (Å): 2.9934 4.2789 9.4438
angles (deg): 90.00 99.12 90.00
Atoms (fractional coordinates):
Hf1 0.6177 0.7500 0.2354
Hf2 0.3823 0.2500 0.7646
V1 0.9780 0.7500 0.9560
V2 0.0220 0.2500 0.0440
V3 0.2545 0.7500 0.5091
V4 0.7455 0.2500 0.4909
Fe1 0.1484 0.2500 0.2969
Fe2 0.8516 0.7500 0.7031

---

# 2
Density functional theory data (GGA-PBE) for a geometry-optimized CaLa12Er5 structure.

## Properties
Formation energy from the elements, eV per atom: 0.03
Energy, eV per atom: -4.635
Space group: C2/m (12)
Crystal system: monoclinic

a b c (Å): 10.9731 11.0628 6.3977
angles (deg): 72.94 90.00 60.27
Atoms (fractional coordinates):
La1 0.5048 0.3321 0.5036
La2 0.1633 0.3321 0.5036
La3 0.4952 0.6678 0.4964
La4 0.9969 0.6603 0.0022
La5 0.6622 0.0000 0.9999
La6 0.3426 0.6603 0.0023
La7 0.8237 0.0000 0.5000
La8 0.0032 0.3396 0.9979
La9 0.3378 0.0001 0.9999
La10 0.1762 0.0001 0.4999
La11 0.6574 0.3396 0.9977
La12 0.8368 0.6678 0.4964
Er1 0.1693 0.6613 0.5122
Er2 0.8307 0.3387 0.4878
Er3 0.3338 0.3326 0.0052
Er4 0.5000 0.0000 0.5000
Er5 0.6662 0.6674 0.9948
Ca1 0.0000 0.0000 0.0000

---

# 3
Density functional theory data (GGA-PBE) for a geometry-optimized PmErCo structure.

## Properties
Formation energy from the elements, eV per atom: -0.02
Energy, eV per atom: -5.491
Space group: F-43m (216)
ΔE to the lowest computed polymorph, meV/atom: 118
Crystal system: cubic

a b c (Å): 4.7250 4.7250 4.7250
angles (deg): 60.00 60.00 60.00
Atoms (fractional coordinates):
Pm1 0.0000 0.0000 0.0000
Er1 0.5000 0.5000 0.5000
Co1 0.2500 0.2500 0.2500

---

# 4
Density functional theory data (GGA-PBE) for a geometry-optimized Na3Li2Tl7 structure.

## Properties
Formation energy from the elements, eV per atom: -0.04
Energy, eV per atom: -2.069
Space group: Cmmm (65)
ΔE to the lowest computed polymorph, meV/atom: 28
Crystal system: orthorhombic

a b c (Å): 12.9721 12.9721 5.1756
angles (deg): 90.00 90.00 156.74
Atoms (fractional coordinates):
Na1 0.5000 0.5000 0.5000
Na2 0.6852 0.3148 0.5000
Na3 0.3148 0.6852 0.5000
Tl1 0.4026 0.5974 0.0000
Tl2 0.9138 0.0862 0.5000
Tl3 0.0000 0.0000 0.0000
Tl4 0.2142 0.7858 0.0000
Tl5 0.5974 0.4026 0.0000
Tl6 0.7858 0.2142 0.0000
Tl7 0.0862 0.9138 0.5000
Li1 0.1095 0.8905 0.0000
Li2 0.8905 0.1095 0.0000

---

# 5
Density functional theory data (GGA-PBE) for a geometry-optimized AlCr2Ru structure.

## Properties
Formation energy from the elements, eV per atom: 0.16
Energy, eV per atom: -7.908
Space group: Cmmm (65)
Crystal system: orthorhombic

a b c (Å): 2.5944 2.5944 8.3943
angles (deg): 90.00 90.00 111.99
Atoms (fractional coordinates):
Cr1 0.0000 0.0000 0.4987
Cr2 0.0000 0.0000 0.0013
Al1 0.5000 0.5000 0.7500
Ru1 0.5000 0.5000 0.2500

---

# 6
Density functional theory data (GGA-PBE) for a geometry-optimized ScZnGa structure.

## Properties
Formation energy from the elements, eV per atom: -0.51
Energy, eV per atom: -4.050
Space group: Pmmm (47)
Crystal system: orthorhombic

a b c (Å): 4.3200 3.2515 8.2077
angles (deg): 113.35 90.00 90.00
Atoms (fractional coordinates):
Ga1 0.8652 0.9931 0.0278
Ga2 0.8652 0.6532 0.6886
Zn1 0.3652 0.4874 0.5223
Zn2 0.3652 0.1592 0.1942
Sc1 0.3652 0.3231 0.8582
Sc2 0.8652 0.8232 0.3582

---

# 7
Density functional theory data (GGA-PBE) for a geometry-optimized SmAl10Ru2 structure.

## Properties
Formation energy from the elements, eV per atom: -0.52
Energy, eV per atom: -5.193
Space group: Cmcm (63)
Crystal system: orthorhombic

a b c (Å): 6.8649 6.8649 9.1827
angles (deg): 90.00 90.00 96.77
Atoms (fractional coordinates):
Al1 0.1586 0.8414 0.6008
Al2 0.4106 0.1407 0.7500
Al3 0.2198 0.4807 0.7500
Al4 0.5193 0.7802 0.7500
Al5 0.4807 0.2198 0.2500
Al6 0.1407 0.4106 0.2500
Al7 0.3774 0.6226 0.4509
Al8 0.7740 0.7740 0.0000
Al9 0.2260 0.2260 0.0000
Al10 0.7740 0.7740 0.5000
Al11 0.1586 0.8414 0.8992
Al12 0.6226 0.3774 0.5491
Al13 0.8593 0.5894 0.7500
Al14 0.8414 0.1586 0.1008
Al15 0.6226 0.3774 0.9509
Al16 0.2260 0.2260 0.5000
Al17 0.8414 0.1586 0.3992
Al18 0.7802 0.5193 0.2500
Al19 0.5894 0.8593 0.2500
Al20 0.3774 0.6226 0.0491
Ru1 0.0000 0.5000 0.0000
Ru2 0.0000 0.5000 0.5000
Ru3 0.5000 0.0000 0.0000
Ru4 0.5000 0.0000 0.5000
Sm1 0.8741 0.1259 0.7500
Sm2 0.1259 0.8741 0.2500

---

# 8
Density functional theory data (GGA-PBE) for a geometry-optimized Y4IrOs structure.

## Properties
Formation energy from the elements, eV per atom: -0.47
Energy, eV per atom: -8.126
Space group: C2/c (15)
ΔE to the lowest computed polymorph, meV/atom: 0
Crystal system: monoclinic

a b c (Å): 6.3150 7.5703 7.8933
angles (deg): 114.39 108.67 99.59
Atoms (fractional coordinates):
Y1 0.6427 0.0471 0.3523
Y2 0.2097 0.3052 0.3523
Y3 0.9925 0.7580 0.1244
Y4 0.3681 0.6336 0.8756
Y5 0.3573 0.9529 0.6477
Y6 0.0075 0.2420 0.8756
Y7 0.6319 0.3664 0.1244
Y8 0.7903 0.6948 0.6477
Os1 0.7504 0.0004 0.0008
Os2 0.2496 0.9996 0.9992
Ir1 0.3857 0.6357 0.2715
Ir2 0.6143 0.3643 0.7285

---

# 9
Density functional theory data (GGA-PBE) for a geometry-optimized KNiAs2 structure.

## Properties
Formation energy from the elements, eV per atom: -0.15
Energy, eV per atom: -4.196
Space group: I4_1/amd (141)
ΔE to the lowest computed polymorph, meV/atom: 164
Crystal system: tetragonal

a b c (Å): 5.2192 5.2192 8.5439
angles (deg): 72.22 72.22 90.00
Atoms (fractional coordinates):
K1 0.2500 0.7500 0.5000
K2 0.5000 0.5000 0.0000
Ni1 0.7500 0.2500 0.5000
Ni2 0.0000 0.0000 0.0000
As1 0.3750 0.1256 0.7500
As2 0.8756 0.6250 0.2500
As3 0.8744 0.1250 0.2500
As4 0.8750 0.1244 0.7500

---

# 10
Density functional theory data (GGA-PBE) for a geometry-optimized Si2RuPb structure.

## Properties
Energy, eV per atom: -5.726
Space group: P2/m (10)
Energy relative to the elements, uncorrected, eV per atom: 0.2315
Crystal system: monoclinic

a b c (Å): 4.2670 4.0099 4.6754
angles (deg): 79.59 90.00 90.00
Atoms (fractional coordinates):
Si1 0.0000 0.8064 0.9920
Si2 0.0000 0.6936 0.5080
Ru1 0.5000 0.7500 0.7500
Pb1 0.5000 0.2500 0.2500

---

# 11
Density functional theory data (GGA-PBE) for a geometry-optimized PdPtO4 structure.

## Properties
Energy, eV per atom: -5.573
Space group: C2/m (12)
Energy relative to the elements, uncorrected, eV per atom: -0.3953
Crystal system: monoclinic

a b c (Å): 3.1383 5.7873 5.4271
angles (deg): 118.53 90.00 105.73
Atoms (fractional coordinates):
O1 0.0996 0.1992 0.7677
O2 0.4000 0.8000 0.7309
O3 0.6000 0.2000 0.2691
O4 0.9004 0.8008 0.2323
Pt1 0.5000 0.0000 0.5000
Pd1 0.0000 0.0000 0.0000

---

# 12
Density functional theory data (GGA-PBE) for a geometry-optimized Ca2CdNiB structure.

## Properties
Formation energy from the elements, eV per atom: 1.16
Energy, eV per atom: -2.317
Space group: P4/mmm (123)
Crystal system: tetragonal

a b c (Å): 5.6885 4.6469 5.6885
angles (deg): 90.00 90.00 90.00
Atoms (fractional coordinates):
Ca1 0.5000 0.0000 0.0000
Ca2 0.0000 0.0000 0.5000
Cd1 0.0000 0.0000 0.0000
B1 0.5000 0.5000 0.5000
Ni1 0.0000 0.5000 0.0000

---

- The lowest energy belongs to which entry?
  HfV2Fe

---

- The lowest energy belongs to which entry?
  HfV2Fe

---

- Which value of energy does entry 6 give?
  -4.050 eV per atom

---

Repeat the eleventh record exactly.
Density functional theory data (GGA-PBE) for a geometry-optimized PdPtO4 structure.

## Properties
Energy, eV per atom: -5.573
Space group: C2/m (12)
Energy relative to the elements, uncorrected, eV per atom: -0.3953
Crystal system: monoclinic

a b c (Å): 3.1383 5.7873 5.4271
angles (deg): 118.53 90.00 105.73
Atoms (fractional coordinates):
O1 0.0996 0.1992 0.7677
O2 0.4000 0.8000 0.7309
O3 0.6000 0.2000 0.2691
O4 0.9004 0.8008 0.2323
Pt1 0.5000 0.0000 0.5000
Pd1 0.0000 0.0000 0.0000